*P*
DFT (PBE) results for an optimized crystal structure of HoScHgAu.

```
4
Lattice="3.571 0.000 0.000 0.000 3.571 0.000 0.000 0.000 7.046" Properties=species:S:1:pos:R:3 pbc="T T T"
Hg 0.000 0.000 6.172
Sc 1.785 1.785 0.830
Au 0.000 0.000 2.383
Ho 1.785 1.785 4.199
```

Crystal system: tetragonal
M_tot: 0.00 μB per formula unit

---

*Q*
DFT (PBE) results for an optimized crystal structure of HoScHgAu.

```
4
Lattice="-2.123 -4.504 0.741 1.870 -4.072 -2.294 2.416 -3.511 2.679" Properties=species:S:1:pos:R:3 pbc="T T T"
Ho 1.622 -9.066 0.844
Au 0.000 0.000 0.000
Sc 0.541 -3.022 0.281
Hg 1.082 -6.044 0.563
```

Crystal system: cubic
M_tot: 0.00 μB per formula unit

---

What are the relative energies? In kJ/mol of atoms: *P* 0.0; *Q* 1.7.